HoAlSi: relaxed, GGA-PBE.

Unit cell a=4.704 b=4.704 c=4.704 alpha=60.00 beta=60.00 gamma=60.00
Sites, in units of the cell vectors:
Ho: 0.000 0.000 0.000
Al: 0.750 0.750 0.750
Si: 0.250 0.250 0.250

Summary:
uncorrected energy: -13.34 eV per cell
total magnetization: 0.00 μB per formula unit
crystal system: cubic

=====

Hf2Zr4Au3N3: relaxed, GGA-PBE.

Unit cell a=5.699 b=5.699 c=14.415 alpha=101.49 beta=101.49 gamma=60.01
Sites, in units of the cell vectors:
Hf: 0.028 0.859 0.586
Hf: 0.141 0.972 0.914
Hf: 0.859 0.028 0.086
Hf: 0.972 0.141 0.414
Zr: 0.197 0.368 0.091
Zr: 0.306 0.466 0.409
Zr: 0.368 0.197 0.591
Zr: 0.466 0.306 0.909
Zr: 0.534 0.694 0.091
Zr: 0.632 0.803 0.409
Zr: 0.694 0.534 0.591
Zr: 0.803 0.632 0.909
Au: 0.083 0.233 0.750
Au: 0.233 0.083 0.250
Au: 0.400 0.600 0.750
Au: 0.600 0.400 0.250
Au: 0.767 0.917 0.750
Au: 0.917 0.767 0.250
N: 0.000 0.500 0.500
N: 0.162 0.677 0.000
N: 0.323 0.838 0.500
N: 0.500 0.000 0.000
N: 0.677 0.162 0.500
N: 0.838 0.323 0.000

Summary:
uncorrected energy: -203.71 eV per cell
total magnetization: 0.01 μB per formula unit
crystal system: monoclinic

=====

CdCoAu2: relaxed, GGA-PBE.

Unit cell a=4.577 b=4.577 c=4.577 alpha=60.00 beta=60.00 gamma=60.00
Sites, in units of the cell vectors:
Cd: 0.000 0.000 0.000
Co: 0.750 0.750 0.750
Au: 0.250 0.250 0.250
Au: 0.500 0.500 0.500

Summary:
uncorrected energy: -13.82 eV per cell
total magnetization: 1.53 μB per formula unit
crystal system: cubic
ΔH_f (0 K): 0.18 eV per atom

=====

Cu2BiAs: relaxed, GGA-PBE.

Unit cell a=6.658 b=6.658 c=6.658 alpha=90.00 beta=90.00 gamma=90.00
Sites, in units of the cell vectors:
Cu: 0.215 0.215 0.215
Cu: 0.215 0.215 0.785
Cu: 0.215 0.785 0.215
Cu: 0.215 0.785 0.785
Cu: 0.785 0.215 0.215
Cu: 0.785 0.215 0.785
Cu: 0.785 0.785 0.215
Cu: 0.785 0.785 0.785
Bi: 0.000 0.500 0.500
Bi: 0.500 0.000 0.500
Bi: 0.500 0.500 0.000
Bi: 0.500 0.500 0.500
As: 0.000 0.000 0.000
As: 0.000 0.000 0.500
As: 0.000 0.500 0.000
As: 0.500 0.000 0.000

Summary:
uncorrected energy: -60.27 eV per cell
crystal system: cubic

=====

HoErCo2Si2: relaxed, GGA-PBE.

Unit cell a=3.924 b=3.924 c=6.645 alpha=90.00 beta=90.00 gamma=90.00
Sites, in units of the cell vectors:
Ho: 0.000 0.000 0.000
Er: 0.500 0.500 0.642
Co: 0.000 0.500 0.323
Co: 0.500 0.000 0.323
Si: 0.000 0.000 0.514
Si: 0.500 0.500 0.132

Summary:
uncorrected energy: -38.74 eV per cell
total magnetization: 0.28 μB per formula unit
crystal system: tetragonal

=====

PmBeCu: relaxed, GGA-PBE.

Unit cell a=4.403 b=4.403 c=4.403 alpha=60.00 beta=60.00 gamma=60.00
Sites, in units of the cell vectors:
Pm: 0.000 0.000 0.000
Be: 0.500 0.500 0.500
Cu: 0.750 0.750 0.750

Summary:
uncorrected energy: -11.38 eV per cell
energy above the lowest structure with this stoichiometry: 0.000 eV per atom
total magnetization: 0.02 μB per formula unit
crystal system: cubic

=====

DyGaPO: relaxed, GGA-PBE.

Unit cell a=4.285 b=4.285 c=9.120 alpha=90.00 beta=90.00 gamma=90.00
Sites, in units of the cell vectors:
Dy: 0.250 0.750 0.000
Dy: 0.750 0.250 0.000
Ga: 0.250 0.250 0.444
Ga: 0.750 0.750 0.556
P: 0.250 0.250 0.183
P: 0.750 0.750 0.817
O: 0.250 0.750 0.500
O: 0.750 0.250 0.500

Summary:
uncorrected energy: -41.74 eV per cell
energy above the lowest structure with this stoichiometry: 0.893 eV per atom
total magnetization: 0.02 μB per formula unit
crystal system: tetragonal

=====

KSmO3: relaxed, GGA-PBE.

Unit cell a=6.401 b=8.505 c=6.325 alpha=90.00 beta=90.00 gamma=90.00
Sites, in units of the cell vectors:
K: 0.000 0.000 0.000
K: 0.000 0.500 0.000
K: 0.500 0.000 0.500
K: 0.500 0.500 0.500
Sm: 0.024 0.250 0.488
Sm: 0.476 0.750 0.988
Sm: 0.524 0.250 0.012
Sm: 0.976 0.750 0.512
O: 0.213 0.750 0.763
O: 0.237 0.661 0.262
O: 0.237 0.839 0.262
O: 0.263 0.161 0.762
O: 0.263 0.339 0.762
O: 0.287 0.250 0.263
O: 0.713 0.750 0.737
O: 0.737 0.661 0.238
O: 0.737 0.839 0.238
O: 0.763 0.161 0.738
O: 0.763 0.339 0.738
O: 0.787 0.250 0.237

Summary:
uncorrected energy: -120.27 eV per cell
total magnetization: 0.00 μB per formula unit
crystal system: orthorhombic

=====

- Which value of uncorrected energy does entry 3 give?
  -13.82 eV per cell

=====

- Which formula does entry 1 have?
  HoAlSi

=====

- Number 6 is which compound?
  PmBeCu

=====

- Among the records above, which one has the highest uncorrected energy?
  PmBeCu